Entry A
## InHg2Pb5 (GGA-PBE)

Data for a relaxed structure of InHg2Pb5.

Calculated values
Magnetization, μB/f.u.: 0.00

a b c (Å): 6.7476 6.7475 6.7479
angles (deg): 107.78 107.78 112.95
Sites, in units of the cell vectors:
Pb (0.2781, 0.7776, 0.0000)
Pb (0.7779, 0.2779, 0.0000)
Hg (0.7778, 0.2781, 0.5000)
Pb (0.7776, 0.7779, 0.4998)
Pb (0.2779, 0.2782, 0.5002)
Pb (0.2777, 0.2775, 0.0000)
In (0.7781, 0.7779, 0.0001)
Hg (0.2778, 0.7781, 0.5000)

=====

Entry B
## InHg2Pb5 (GGA-PBE)

Data for a relaxed structure of InHg2Pb5.

Calculated values
Magnetization, μB/f.u.: 0.00

a b c (Å): 4.8922 6.8277 14.0489
angles (deg): 90.00 90.00 90.00
Sites, in units of the cell vectors:
In (0.0000, 0.5000, 0.0000)
Pb (0.0000, 0.0000, 0.0000)
In (0.0000, 0.0000, 0.5000)
Pb (0.0000, 0.0104, 0.7499)
Pb (0.5000, 0.2390, 0.3799)
Pb (0.0000, 0.4896, 0.2499)
Pb (0.0000, 0.5000, 0.5000)
Hg (0.5000, 0.2446, 0.1245)
Pb (0.5000, 0.7390, 0.1201)
Hg (0.5000, 0.7554, 0.8755)
Pb (0.0000, 0.5104, 0.7501)
Hg (0.5000, 0.2554, 0.6245)
Hg (0.5000, 0.7446, 0.3755)
Pb (0.0000, 0.9896, 0.2501)
Pb (0.5000, 0.7610, 0.6201)
Pb (0.5000, 0.2610, 0.8799)

=====

The most stable arrangement is entry B, and the next structure is 1.5 kJ/mol of atoms less stable.

=====

Entry A
## In2Hg9Pb (GGA-PBE)

Data for a relaxed structure of In2Hg9Pb.

Calculated values
Magnetization, μB/f.u.: 0.00

a b c (Å): 3.3875 10.5117 10.5117
angles (deg): 120.00 90.00 90.00
Sites, in units of the cell vectors:
Hg (0.5000, 0.3452, 0.1726)
Hg (0.0000, 0.5000, 0.0000)
Hg (0.5000, 0.1726, 0.3452)
Hg (0.5000, 0.1726, 0.8274)
Hg (0.0000, 0.5000, 0.5000)
Hg (0.5000, 0.8274, 0.1726)
Hg (0.5000, 0.6548, 0.8274)
In (0.0000, 0.6667, 0.3333)
Hg (0.0000, 0.0000, 0.5000)
In (0.0000, 0.3333, 0.6667)
Hg (0.5000, 0.8274, 0.6548)
Pb (0.0000, 0.0000, 0.0000)

=====

Entry B
## In2Hg9Pb (GGA-PBE)

Data for a relaxed structure of In2Hg9Pb.

Calculated values
Magnetization, μB/f.u.: 0.00

a b c (Å): 5.2616 5.7145 10.7880
angles (deg): 90.00 90.00 90.00
Sites, in units of the cell vectors:
In (0.0000, 0.0000, 0.6643)
Hg (0.0000, 0.5000, 0.1684)
Hg (0.5000, 0.5000, 0.6662)
Hg (0.5000, 0.5000, 0.0000)
Hg (0.0000, 0.5000, 0.8316)
Hg (0.5000, 0.0000, 0.1746)
Hg (0.5000, 0.0000, 0.5000)
In (0.0000, 0.0000, 0.3357)
Hg (0.5000, 0.5000, 0.3338)
Hg (0.0000, 0.5000, 0.5000)
Pb (0.0000, 0.0000, 0.0000)
Hg (0.5000, 0.0000, 0.8254)

=====

The most stable arrangement is entry B, and the next structure is 1.1 kJ/mol of atoms less stable.